Record 1
{
  "formula": "ZnSiCl2",
  "functional": "PBE",
  "state": "optimized geometry",
  "cell": [[-5.968, -0.110, 3.476], [-6.517, -1.685, -1.554], [6.715, -1.605, -0.229]],
  "species": ["Cl", "Cl", "Zn", "Si"],
  "frac_coords": [[0.250, 0.750, 0.500], [0.000, 0.000, 0.000], [0.750, 0.250, 0.500], [0.500, 0.500, 0.000]],
  "de_polymorph_mev_per_atom": 470,
  "space_group": "I-4m2 (119)",
  "n_ef_per_ev_cell": 1.608,
  "vol_a3_per_atom": 22.4
}

=====

Record 2
{
  "formula": "Nd6TaSn10",
  "functional": "PBE",
  "state": "optimized geometry",
  "cell": [[-2.401, -4.247, -3.910], [8.628, -2.008, -3.116], [-3.569, -4.705, 7.302]],
  "species": ["Nd", "Nd", "Nd", "Nd", "Nd", "Nd", "Sn", "Sn", "Sn", "Sn", "Sn", "Sn", "Sn", "Sn", "Sn", "Sn", "Ta"],
  "frac_coords": [[0.259, 0.387, 0.000], [0.741, 0.613, 0.000], [0.259, 0.613, 0.613], [0.259, 0.000, 0.387], [0.741, 0.387, 0.387], [0.741, 0.000, 0.613], [0.000, 0.667, 0.333], [0.792, 0.000, 0.230], [0.000, 0.333, 0.667], [0.208, 0.230, 0.230], [0.792, 0.770, 0.770], [0.500, 0.667, 0.333], [0.208, 0.000, 0.770], [0.208, 0.770, 0.000], [0.500, 0.333, 0.667], [0.792, 0.230, 0.000], [0.500, 0.000, 0.000]],
  "formation_energy_ev_per_atom": -0.499,
  "space_group": "P-31m (162)",
  "n_ef_per_ev_cell": 9.243,
  "vol_a3_per_atom": 28.1
}